1.
{
  "formula": "BiPIrSN",
  "functional": "PBE-GGA",
  "state": "optimized geometry",
  "lattice": [[-3.2616, 2.7025, -0.6555], [-1.6360, -4.5788, 1.0032], [0.5365, 1.5564, 4.7543]],
  "species": ["S", "N", "P", "Bi", "Ir"],
  "fractional_positions": [[0.8119, 0.7763, 0.7657], [0.2663, 0.6764, 0.1830], [0.9151, 0.5034, 0.0088], [0.2327, 0.2865, 0.4182], [0.6071, 0.0652, 0.0864]],
  "e_form_raw_ev_per_atom": 0.029,
  "space_group": "P1, No. 1",
  "relative_energy_mev_per_atom": 183,
  "crystal_system": "triclinic",
  "total_energy_ev_per_atom": -6.092
}

---

2.
{
  "formula": "Ac3Ru",
  "functional": "PBE-GGA",
  "state": "optimized geometry",
  "lattice": [[-0.6678, 2.5948, -4.3177], [4.1886, -2.1335, -1.9300], [-2.7983, -3.8127, -1.8585]],
  "species": ["Ru", "Ac", "Ac", "Ac"],
  "fractional_positions": [[0.0000, 0.0000, 0.0000], [0.0000, 0.5000, 0.5000], [0.5000, 0.0000, 0.5000], [0.5000, 0.5000, 0.0000]],
  "space_group": "Pm-3m, No. 221",
  "relative_energy_mev_per_atom": 543,
  "crystal_system": "cubic",
  "delta_e_f_mev_per_atom": 410,
  "total_energy_ev_per_atom": -4.990
}

---

3.
{
  "formula": "LiPr2TiS5",
  "functional": "PBE-GGA",
  "state": "optimized geometry",
  "lattice": [[3.9311, 0.0000, 0.0000], [-1.9656, 8.1618, 0.0000], [0.0000, 0.0000, 11.4686]],
  "species": ["S", "S", "S", "S", "S", "Pr", "Li", "Ti", "Ti", "S", "Pr", "S", "S", "Pr", "S", "Pr", "S", "Li"],
  "fractional_positions": [[0.3078, 0.6156, 0.3667], [0.2862, 0.5724, 0.6567], [0.6922, 0.3844, 0.8667], [0.5038, 0.0077, 0.2740], [0.9436, 0.8872, 0.5569], [0.1310, 0.2621, 0.3053], [0.5548, 0.1096, 0.9557], [0.8048, 0.6096, 0.5139], [0.1952, 0.3904, 0.0139], [0.3523, 0.7046, 0.0031], [0.1118, 0.2237, 0.6917], [0.0564, 0.1128, 0.0569], [0.6477, 0.2954, 0.5031], [0.8882, 0.7763, 0.1917], [0.4962, 0.9923, 0.7740], [0.8690, 0.7379, 0.8053], [0.7138, 0.4276, 0.1567], [0.4452, 0.8904, 0.4557]],
  "e_form_raw_ev_per_atom": -1.703,
  "space_group": "Cmc2_1, No. 36",
  "crystal_system": "orthorhombic",
  "total_energy_ev_per_atom": -6.148
}